(1)
A plane-wave DFT calculation with PBE was carried out for a geometry-optimized NaNiHg3 structure.

Summary:
Space-group type: Pm-3m, No. 221
ρ: 8.69 g/cm3
E_form: -0.035 eV/atom
Uncorrected energy: -1.6357 eV/atom
Size of the total moment: 0.0 Bohr magnetons per cell

Geometry as POSCAR:
```
NaNiHg3
1.0
5.0745 0.0000 0.0000
0.0000 5.0745 0.0000
0.0000 0.0000 5.0745
Na Ni Hg
1 1 3
Cartesian
0.0000 0.0000 0.0000
2.5372 2.5372 2.5372
0.0000 2.5372 2.5372
2.5372 0.0000 2.5372
2.5372 2.5372 0.0000
```

(2)
A plane-wave DFT calculation with PBE was carried out for a geometry-optimized Na2NiHg2 structure.

Summary:
Space-group type: P4/mbm, No. 127
ρ: 7.01 g/cm3
E_form: 0.037 eV/atom
Uncorrected energy: -1.7671 eV/atom
Size of the total moment: 0.0 Bohr magnetons per cell
Energy relative to the lowest polymorph listed for this composition: 0 meV/atom

Geometry as POSCAR:
```
Na2NiHg2
1.0
6.9218 0.0000 0.0000
0.0000 6.9218 0.0000
0.0000 0.0000 4.9992
Na Ni Hg
4 2 4
Cartesian
1.1852 2.2757 0.0000
2.2757 5.7366 0.0000
4.6461 1.1852 0.0000
5.7366 4.6461 0.0000
0.0000 0.0000 2.4996
3.4609 3.4609 2.4996
1.0902 4.5511 2.4996
2.3707 1.0902 2.4996
4.5511 5.8316 2.4996
5.8316 2.3707 2.4996
```

> Which of these has the lowest E_form?

NaNiHg3

> Number 1 is which compound?

NaNiHg3